Record 1
NaThInI6 GGA-PBE relaxed; raw formation energy = -1.06 eV/atom; N(E_F) = 0.000 states/eV per cell
1.0
8.3438 0.0000 0.0000
-4.1719 7.2260 0.0000
0.0000 0.0000 14.1188
Na Th In I
2 2 2 12
Direct
0.0000 0.0000 0.0000
0.0000 0.0000 0.5000
0.3333 0.6667 0.2500
0.6667 0.3333 0.7500
0.3333 0.6667 0.7500
0.6667 0.3333 0.2500
0.0357 0.3593 0.1246
0.0357 0.6764 0.3754
0.3236 0.3593 0.3754
0.3236 0.9643 0.1246
0.3593 0.0357 0.6246
0.3593 0.3236 0.8754
0.6407 0.6764 0.1246
0.6407 0.9643 0.3754
0.6764 0.0357 0.8754
0.6764 0.6407 0.6246
0.9643 0.3236 0.6246
0.9643 0.6407 0.8754

---

Record 2
Na2TiInI6 GGA-PBE relaxed; raw formation energy = -0.85 eV/atom; N(E_F) = 6.665 states/eV per cell
1.0
7.9394 0.0000 0.0000
3.9659 6.8963 0.0000
3.9643 2.2936 7.2149
Na Ti In I
2 1 1 6
Direct
0.0000 0.0000 0.0000
0.4844 0.4835 0.5469
0.8100 0.8100 0.5697
0.2992 0.2986 0.1028
0.0373 0.7269 0.7895
0.1811 0.6082 0.3319
0.4468 0.0374 0.7905
0.6072 0.8782 0.3319
0.7252 0.4470 0.7899
0.8775 0.1816 0.3316

---

Record 3
NaTiIn2I6 GGA-PBE relaxed; raw formation energy = -0.70 eV/atom; N(E_F) = 6.251 states/eV per cell
1.0
4.1210 2.3793 6.8829
-4.1210 2.3793 6.8829
0.0000 -4.7586 6.8829
Na Ti In I
1 1 2 6
Direct
0.0000 0.0000 0.0000
0.5069 0.5069 0.5069
0.2030 0.2030 0.2030
0.7127 0.7127 0.7127
0.1824 0.3682 0.7408
0.2909 0.8408 0.6355
0.3682 0.7408 0.1824
0.6355 0.2909 0.8408
0.7408 0.1824 0.3682
0.8408 0.6355 0.2909

---

Record 4
Na2TlInI6 GGA-PBE relaxed; raw formation energy = -0.80 eV/atom
1.0
8.0711 0.0000 0.0000
-4.0347 6.9967 0.0000
-4.0331 -2.3300 7.3864
Na Tl In I
2 1 1 6
Direct
0.0000 0.0000 0.0000
0.0290 0.5149 0.5438
0.4023 0.7011 0.1042
0.3773 0.1886 0.5664
0.1874 0.3848 0.3181
0.2228 0.2725 0.7874
0.5145 0.9507 0.7876
0.5155 0.1303 0.3183
0.8363 0.5638 0.7876
0.9329 0.8028 0.3181

---

Record 5
Na2Tl3InI6 GGA-PBE relaxed; raw formation energy = -0.82 eV/atom; N(E_F) = 0.000 states/eV per cell
1.0
10.6346 -2.4277 0.0000
10.6346 2.4277 0.0000
-2.3295 0.0000 9.5480
Na Tl In I
2 3 1 6
Direct
0.1700 0.1700 0.3376
0.8300 0.8300 0.6624
0.1648 0.1648 0.8312
0.5000 0.5000 0.5000
0.8352 0.8352 0.1688
0.5000 0.5000 0.0000
0.0111 0.0111 0.2536
0.3277 0.3277 0.4286
0.3311 0.3311 0.8971
0.6689 0.6689 0.1029
0.6723 0.6723 0.5714
0.9889 0.9889 0.7464

---

Record 6
NaTlInI3 GGA-PBE relaxed; raw formation energy = -0.75 eV/atom
1.0
10.0387 0.0000 0.0000
0.0000 4.7343 0.0000
-1.8707 0.0000 10.2452
Na Tl In I
2 2 2 6
Direct
0.1419 0.2500 0.1604
0.8581 0.7500 0.8396
0.3220 0.7500 0.8225
0.6780 0.2500 0.1775
0.3854 0.7500 0.4800
0.6146 0.2500 0.5200
0.0908 0.2500 0.8578
0.1750 0.2500 0.4644
0.3864 0.7500 0.1715
0.6136 0.2500 0.8285
0.8250 0.7500 0.5356
0.9092 0.7500 0.1422